# 1
This record from Alexandria via LeMat-Bulk describes an optimized crystal structure of Ce2SmScSe6. The functional is PBE.

## Properties
Energy relative to the elements, uncorrected: -1.739 eV per atom
Total magnetic moment: 0.202 μB/atom
Theoretical density: 5.289 g/cm3
Calculated total energy: -6.1212 eV/atom
DOS at the Fermi energy: 10.8 states/eV per cell

Lattice parameters (Å, degrees): 7.6952 7.6952 7.6952 56.75 56.75 56.75
Sites, in units of the cell vectors:
Ce1 0.0000 0.0000 0.0000
Ce2 0.4967 0.4967 0.4967
Sm1 0.2011 0.2011 0.2011
Sc1 0.6966 0.6966 0.6966
Se1 0.0658 0.4294 0.8123
Se2 0.3235 0.9057 0.5893
Se3 0.4294 0.8123 0.0658
Se4 0.5893 0.3235 0.9057
Se5 0.8123 0.0658 0.4294
Se6 0.9057 0.5893 0.3235

# 2
This record from Alexandria via LeMat-Bulk describes an optimized crystal structure of Ce3Sm2ScSe6. The functional is PBE.

## Properties
Energy relative to the elements, uncorrected: -1.775 eV per atom
Total magnetic moment: 0.249 μB/atom
Theoretical density: 6.829 g/cm3
Calculated total energy: -6.3146 eV/atom
DOS at the Fermi energy: 19.7 states/eV per cell

Lattice parameters (Å, degrees): 7.1562 7.1562 7.2093 99.55 99.55 120.03
Sites, in units of the cell vectors:
Ce1 0.0000 0.0000 0.0000
Ce2 0.3276 0.6724 0.0000
Ce3 0.6724 0.3276 0.0000
Sm1 0.1657 0.8343 0.5000
Sm2 0.8343 0.1657 0.5000
Sc1 0.5000 0.5000 0.5000
Se1 0.1017 0.4217 0.2633
Se2 0.2617 0.2617 0.7433
Se3 0.4217 0.1017 0.2633
Se4 0.5783 0.8983 0.7367
Se5 0.7383 0.7383 0.2567
Se6 0.8983 0.5783 0.7367

# 3
This record from Alexandria via LeMat-Bulk describes an optimized crystal structure of Ce3Sm4ScSe8. The functional is PBE.

## Properties
Energy relative to the elements, uncorrected: -1.785 eV per atom
Total magnetic moment: 0.177 μB/atom
Theoretical density: 6.962 g/cm3
Calculated total energy: -6.2158 eV/atom
DOS at the Fermi energy: 22.5 states/eV per cell

Lattice parameters (Å, degrees): 8.3079 8.3079 8.3079 59.96 59.96 59.96
Sites, in units of the cell vectors:
Ce1 0.0000 0.5000 0.5000
Ce2 0.5000 0.0000 0.5000
Ce3 0.5000 0.5000 0.0000
Sm1 0.0000 0.0000 0.5000
Sm2 0.0000 0.5000 0.0000
Sm3 0.5000 0.0000 0.0000
Sm4 0.5000 0.5000 0.5000
Sc1 0.0000 0.0000 0.0000
Se1 0.2407 0.7580 0.7580
Se2 0.2420 0.2420 0.7593
Se3 0.2420 0.7593 0.2420
Se4 0.2490 0.2490 0.2490
Se5 0.7510 0.7510 0.7510
Se6 0.7580 0.2407 0.7580
Se7 0.7580 0.7580 0.2407
Se8 0.7593 0.2420 0.2420

# 4
This record from Alexandria via LeMat-Bulk describes an optimized crystal structure of Ce2SmScSe4. The functional is PBE.

## Properties
Energy relative to the elements, uncorrected: -1.748 eV per atom
Total magnetic moment: 0.256 μB/atom
Theoretical density: 6.642 g/cm3
Calculated total energy: -6.3548 eV/atom
DOS at the Fermi energy: 13.3 states/eV per cell

Lattice parameters (Å, degrees): 7.1223 4.0871 7.1903 90.00 109.04 90.00
Sites, in units of the cell vectors:
Ce1 0.0000 0.0000 0.0000
Ce2 0.5000 0.5000 0.0000
Sm1 0.0000 0.5000 0.5000
Sc1 0.5000 0.0000 0.5000
Se1 0.2576 0.0000 0.7389
Se2 0.2674 0.5000 0.2688
Se3 0.7326 0.5000 0.7312
Se4 0.7424 0.0000 0.2611

# 5
This record from Alexandria via LeMat-Bulk describes an optimized crystal structure of Ce2SmScSe5. The functional is PBE.

## Properties
Energy relative to the elements, uncorrected: -1.177 eV per atom
Total magnetic moment: 0.392 μB/atom
Theoretical density: 4.925 g/cm3
Calculated total energy: -5.6589 eV/atom
DOS at the Fermi energy: 20.0 states/eV per cell

Lattice parameters (Å, degrees): 5.2934 5.2934 10.4735 90.00 90.00 90.00
Sites, in units of the cell vectors:
Ce1 0.0000 0.0000 0.2037
Ce2 0.0000 0.0000 0.7963
Sm1 0.5000 0.5000 0.0000
Sc1 0.5000 0.5000 0.5000
Se1 0.0000 0.0000 0.5000
Se2 0.0000 0.5000 0.0000
Se3 0.5000 0.0000 0.0000
Se4 0.5000 0.5000 0.2656
Se5 0.5000 0.5000 0.7345

# 6
This record from Alexandria via LeMat-Bulk describes an optimized crystal structure of CeSmScSe3. The functional is PBE.

## Properties
Energy relative to the elements, uncorrected: -1.583 eV per atom
Total magnetic moment: 0.253 μB/atom
Theoretical density: 6.043 g/cm3
Calculated total energy: -6.1558 eV/atom
DOS at the Fermi energy: 17.7 states/eV per cell

Lattice parameters (Å, degrees): 8.5303 4.0708 9.3271 90.00 103.82 90.00
Sites, in units of the cell vectors:
Ce1 0.1760 0.2500 0.2126
Ce2 0.8240 0.7500 0.7874
Sm1 0.3476 0.7500 0.8601
Sm2 0.6524 0.2500 0.1399
Sc1 0.1049 0.2500 0.5992
Sc2 0.8951 0.7500 0.4008
Se1 0.0981 0.2500 0.8801
Se2 0.2289 0.7500 0.4819
Se3 0.4254 0.7500 0.1845
Se4 0.5746 0.2500 0.8155
Se5 0.7711 0.2500 0.5181
Se6 0.9019 0.7500 0.1199